Co3RhF8 | PBE with a Hubbard U | optimized geometry Values from VASP.

Computed properties:
**M_tot**: 0.833 μB/atom
**SG**: No. 21
**Energy**: -0.35962 Ry/atom

Structure (Quantum ESPRESSO input):
```
&SYSTEM
  ibrav = 0, nat = 12, ntyp = 3
/
ATOMIC_SPECIES
Co 58.93 Co.upf
Rh 102.91 Rh.upf
F 19.00 F.upf
CELL_PARAMETERS angstrom
2.7817 -4.7343 0.0000
2.7817 4.7343 0.0000
0.0000 0.0000 6.3848
ATOMIC_POSITIONS crystal
Co 0.0000 0.0000 0.0000
Co 0.0000 0.5000 0.7586
Co 0.5000 0.0000 0.2414
Rh 0.0000 0.0000 0.5000
F 0.2146 0.2844 0.7677
F 0.2157 0.7843 0.5000
F 0.2173 0.7827 0.0000
F 0.2844 0.2146 0.2323
F 0.7156 0.7854 0.2323
F 0.7827 0.2173 0.0000
F 0.7843 0.2157 0.5000
F 0.7854 0.7156 0.7677
```

***

CoRh2F | PBE with a Hubbard U | optimized geometry Values from VASP.

Computed properties:
**M_tot**: 1.324 μB/atom
**SG**: No. 225
**Offset from the most stable computed form**: 0.0 kJ per mole of atoms

Structure (Quantum ESPRESSO input):
```
&SYSTEM
  ibrav = 0, nat = 4, ntyp = 3
/
ATOMIC_SPECIES
Co 58.93 Co.upf
Rh 102.91 Rh.upf
F 19.00 F.upf
CELL_PARAMETERS angstrom
0.0000 2.9827 2.9827
2.9827 0.0000 2.9827
2.9827 2.9827 0.0000
ATOMIC_POSITIONS crystal
Co 0.0000 0.0000 0.0000
Rh 0.2500 0.2500 0.2500
Rh 0.7500 0.7500 0.7500
F 0.5000 0.5000 0.5000
```

***

CoRhF2 | PBE with a Hubbard U | optimized geometry Values from VASP.

Computed properties:
**M_tot**: 1.019 μB/atom
**SG**: No. 166
**Offset from the most stable computed form**: 30.3 kJ per mole of atoms

Structure (Quantum ESPRESSO input):
```
&SYSTEM
  ibrav = 0, nat = 4, ntyp = 3
/
ATOMIC_SPECIES
Co 58.93 Co.upf
Rh 102.91 Rh.upf
F 19.00 F.upf
CELL_PARAMETERS angstrom
1.3805 0.7970 8.0179
-1.3805 0.7970 8.0179
0.0000 -1.5940 8.0179
ATOMIC_POSITIONS crystal
Co 0.0000 0.0000 0.0000
Rh 0.5000 0.5000 0.5000
F 0.0738 0.0738 0.0738
F 0.9262 0.9262 0.9262
```

***

Co2RhF2 | PBE with a Hubbard U | optimized geometry Values from VASP.

Computed properties:
**M_tot**: 1.244 μB/atom
**SG**: No. 127
**Offset from the most stable computed form**: 43.5 kJ per mole of atoms

Structure (Quantum ESPRESSO input):
```
&SYSTEM
  ibrav = 0, nat = 10, ntyp = 3
/
ATOMIC_SPECIES
Co 58.93 Co.upf
Rh 102.91 Rh.upf
F 19.00 F.upf
CELL_PARAMETERS angstrom
7.3090 0.0000 0.0000
0.0000 7.3090 0.0000
0.0000 0.0000 2.6816
ATOMIC_POSITIONS crystal
Co 0.2350 0.2650 0.0000
Co 0.2650 0.7650 0.0000
Co 0.7350 0.2350 0.0000
Co 0.7650 0.7350 0.0000
Rh 0.0000 0.0000 0.0000
Rh 0.5000 0.5000 0.0000
F 0.1206 0.6206 0.5000
F 0.3794 0.1206 0.5000
F 0.6206 0.8794 0.5000
F 0.8794 0.3794 0.5000
```

***

CoRhF2 | PBE with a Hubbard U | optimized geometry Values from VASP.

Computed properties:
**M_tot**: 0.577 μB/atom
**SG**: No. 166
**Offset from the most stable computed form**: 0.0 kJ per mole of atoms

Structure (Quantum ESPRESSO input):
```
&SYSTEM
  ibrav = 0, nat = 4, ntyp = 3
/
ATOMIC_SPECIES
Co 58.93 Co.upf
Rh 102.91 Rh.upf
F 19.00 F.upf
CELL_PARAMETERS angstrom
1.4041 0.8106 7.0087
-1.4041 0.8106 7.0087
0.0000 -1.6213 7.0087
ATOMIC_POSITIONS crystal
Co 0.0000 0.0000 0.0000
Rh 0.5000 0.5000 0.5000
F 0.3994 0.3994 0.3994
F 0.6006 0.6006 0.6006
```

***

CoRh3F | PBE with a Hubbard U | optimized geometry Values from VASP.

Computed properties:
**M_tot**: 1.095 μB/atom
**SG**: No. 221
**Offset from the most stable computed form**: 0.0 kJ per mole of atoms

Structure (Quantum ESPRESSO input):
```
&SYSTEM
  ibrav = 0, nat = 5, ntyp = 3
/
ATOMIC_SPECIES
Co 58.93 Co.upf
Rh 102.91 Rh.upf
F 19.00 F.upf
CELL_PARAMETERS angstrom
4.2259 0.0000 0.0000
0.0000 4.2259 0.0000
0.0000 0.0000 4.2259
ATOMIC_POSITIONS crystal
Co 0.0000 0.0000 0.0000
Rh 0.0000 0.5000 0.5000
Rh 0.5000 0.0000 0.5000
Rh 0.5000 0.5000 0.0000
F 0.5000 0.5000 0.5000
```

***

ScCoRhF2 | PBE with a Hubbard U | optimized geometry Values from VASP.

Computed properties:
**M_tot**: 0.297 μB/atom
**SG**: No. 123
**Energy**: -0.35883 Ry/atom

Structure (Quantum ESPRESSO input):
```
&SYSTEM
  ibrav = 0, nat = 5, ntyp = 4
/
ATOMIC_SPECIES
Sc 44.96 Sc.upf
Co 58.93 Co.upf
Rh 102.91 Rh.upf
F 19.00 F.upf
CELL_PARAMETERS angstrom
3.9924 0.0000 0.0000
0.0000 3.9924 0.0000
0.0000 0.0000 5.0611
ATOMIC_POSITIONS crystal
Sc 0.0000 0.0000 0.0000
Co 0.5000 0.5000 0.0000
Rh 0.0000 0.0000 0.5000
F 0.0000 0.5000 0.5000
F 0.5000 0.0000 0.5000
```

***

Tl2Co3RhF12 | PBE with a Hubbard U | optimized geometry Values from VASP.

Computed properties:
**M_tot**: 0.564 μB/atom
**SG**: No. 166
**Energy**: -0.34419 Ry/atom

Structure (Quantum ESPRESSO input):
```
&SYSTEM
  ibrav = 0, nat = 18, ntyp = 4
/
ATOMIC_SPECIES
Tl 204.38 Tl.upf
Co 58.93 Co.upf
Rh 102.91 Rh.upf
F 19.00 F.upf
CELL_PARAMETERS angstrom
3.6735 2.1209 6.1001
-3.6735 2.1209 6.1001
0.0000 -4.2418 6.1001
ATOMIC_POSITIONS crystal
Tl 0.1119 0.1119 0.1119
Tl 0.8881 0.8881 0.8881
Co 0.0000 0.5000 0.5000
Co 0.5000 0.0000 0.5000
Co 0.5000 0.5000 0.0000
Rh 0.5000 0.5000 0.5000
F 0.1754 0.5762 0.5762
F 0.1776 0.1776 0.5728
F 0.1776 0.5728 0.1776
F 0.4238 0.4238 0.8246
F 0.4238 0.8246 0.4238
F 0.4272 0.8224 0.8224
F 0.5728 0.1776 0.1776
F 0.5762 0.1754 0.5762
F 0.5762 0.5762 0.1754
F 0.8224 0.4272 0.8224
F 0.8224 0.8224 0.4272
F 0.8246 0.4238 0.4238
```

***

- What is the M_tot in the sixth record?
  1.095 μB/atom

***

- The lowest M_tot belongs to which entry?
  ScCoRhF2

***

Copy entry 5 word for word.
CoRhF2 | PBE with a Hubbard U | optimized geometry Values from VASP.

Computed properties:
**M_tot**: 0.577 μB/atom
**SG**: No. 166
**Offset from the most stable computed form**: 0.0 kJ per mole of atoms

Structure (Quantum ESPRESSO input):
```
&SYSTEM
  ibrav = 0, nat = 4, ntyp = 3
/
ATOMIC_SPECIES
Co 58.93 Co.upf
Rh 102.91 Rh.upf
F 19.00 F.upf
CELL_PARAMETERS angstrom
1.4041 0.8106 7.0087
-1.4041 0.8106 7.0087
0.0000 -1.6213 7.0087
ATOMIC_POSITIONS crystal
Co 0.0000 0.0000 0.0000
Rh 0.5000 0.5000 0.5000
F 0.3994 0.3994 0.3994
F 0.6006 0.6006 0.6006
```